Here is a relaxed structure of NdHo2Er3 from Alexandria via LeMat-Bulk. Energies are from PBE.

Values from the calculation:
**N(E_F)**: 8.70 states/eV/f.u.
**E_form**: 0.23 eV per atom

Cell: 6.300 8.065 8.065 Å, 71.32 90.00 90.00°
Fractional positions:
Nd: 0.367 0.177 0.177
Ho: 0.038 0.122 0.485
Er: 0.839 0.080 0.080
Ho: 0.038 0.485 0.122
Er: 0.339 0.920 0.920
Ho: 0.538 0.515 0.878
Er: 0.088 0.375 0.741
Nd: 0.867 0.823 0.823
Ho: 0.538 0.878 0.515
Er: 0.588 0.625 0.259
Er: 0.088 0.741 0.375
Er: 0.588 0.259 0.625